(1)
Here is a geometry-optimized CaAsRuF structure from the Alexandria database. Energies are from PBE.

Calculated values
Formation energy from raw total energies (eV/atom): -1.90

a = 4.1018 Å, b = 4.1018 Å, c = 8.1101 Å
α = 90.00°, β = 90.00°, γ = 90.00°
Fractional positions:
Ca  0.2500  0.2500  0.1530
Ca  0.7500  0.7500  0.8470
As  0.2500  0.2500  0.6636
As  0.7500  0.7500  0.3364
Ru  0.2500  0.7500  0.5000
Ru  0.7500  0.2500  0.5000
F  0.2500  0.7500  0.0000
F  0.7500  0.2500  0.0000

=====

(2)
Here is a geometry-optimized SmDy7Al5 structure from the Alexandria database. Energies are from PBE.

Calculated values
Energy of formation from the pure elements (eV/atom): -0.23

a = 8.0312 Å, b = 8.0312 Å, c = 8.0312 Å
α = 135.19°, β = 100.75°, γ = 95.98°
Fractional positions:
Sm  0.0000  0.0000  0.0000
Dy  0.1994  0.5053  0.6941
Dy  0.2410  0.7410  0.5000
Dy  0.3459  0.3459  0.0000
Dy  0.3579  0.0206  0.3372
Dy  0.6734  0.6734  0.0000
Dy  0.6834  0.0206  0.6628
Dy  0.8112  0.5053  0.3059
Al  0.0077  0.0152  0.4892
Al  0.0077  0.5185  0.9924
Al  0.5261  0.0152  0.0076
Al  0.5261  0.5185  0.5108
Al  0.7736  0.2736  0.5000

=====

Sequential N(E_F) output: 1.70 12.40 states/eV/cell
Sequential energy output: -6.3463 -4.5070 eV per atom